Version one
## CsMgI2Br (GGA-PBE)

Data for crystalline CsMgI2Br at its relaxed geometry.

The crystal system is tetragonal.

The space group is P4/mmm (No. 123) and the conventional cell measures 5.9601, 5.9601 and 5.4026 Å, with angles of 90.00, 90.00 and 90.00 degrees. Symmetry generates all atoms from Cs at (0.0000, 0.0000, 0.0000), Mg at (0.5000, 0.5000, 0.5000), I at (0.0000, 0.5000, 0.5000) and Br at (0.5000, 0.5000, 0.0000).



Version two
## CsMgI2Br (GGA-PBE)

Data for crystalline CsMgI2Br at its relaxed geometry.

The crystal system is monoclinic.

The space group is P2_1/m (No. 11) and the conventional cell measures 9.6071, 4.5313 and 9.9106 Å, with angles of 90.00, 102.56 and 90.00 degrees. Symmetry generates all atoms from Cs at (0.1580, 0.2500, 0.3180), Mg at (0.3253, 0.7500, 0.8601), I at (0.1420, 0.2500, 0.9113), I at (0.4596, 0.7500, 0.1600) and Br at (0.2212, 0.7500, 0.6004).



version two comes first in stability; the runner-up is 5 meV/atom higher.



Version one
## CsMnI2Br (GGA-PBE)

Data for crystalline CsMnI2Br at its relaxed geometry.

The crystal system is tetragonal.

The space group is I4cm (No. 108) and the conventional cell measures 7.7652, 7.7652 and 13.4789 Å, with angles of 90.00, 90.00 and 90.00 degrees. Symmetry generates all atoms from Cs at (0.0000, 0.5000, 0.0000), Mn at (0.0000, 0.0000, 0.2981), I at (0.1972, 0.3028, 0.2470) and Br at (0.0000, 0.0000, 0.4829).



Version two
## CsMnI2Br (GGA-PBE)

Data for crystalline CsMnI2Br at its relaxed geometry.

The crystal system is tetragonal.

The space group is P4/mmm (No. 123) and the conventional cell measures 5.9020, 5.9020 and 5.4035 Å, with angles of 90.00, 90.00 and 90.00 degrees. Symmetry generates all atoms from Cs at (0.0000, 0.0000, 0.0000), Mn at (0.5000, 0.5000, 0.5000), I at (0.0000, 0.5000, 0.5000) and Br at (0.5000, 0.5000, 0.0000).



version one comes first in stability; the runner-up is 19 meV/atom higher.



Version one
## Cs2PdI2Br4 (GGA-PBE)

Data for crystalline Cs2PdI2Br4 at its relaxed geometry.

The crystal system is monoclinic.

The space group is C2/m (No. 12) and the conventional cell measures 12.5762, 8.7088 and 8.6678 Å, with angles of 90.00, 133.45 and 90.00 degrees. Symmetry generates all atoms from Cs at (0.2502, 0.0000, 0.2486), Pd at (0.0000, 0.0000, 0.5000), I at (0.1574, 0.5000, 0.1571) and Br at (0.0008, 0.2015, 0.2985).



Version two
## Cs2PdI2Br4 (GGA-PBE)

Data for crystalline Cs2PdI2Br4 at its relaxed geometry.

The crystal system is tetragonal.

The space group is I4/mmm (No. 139) and the conventional cell measures 8.1690, 8.1690 and 10.5463 Å, with angles of 90.00, 90.00 and 90.00 degrees. Symmetry generates all atoms from Cs at (0.0000, 0.5000, 0.2500), Pd at (0.0000, 0.0000, 0.0000), I at (0.0000, 0.0000, 0.2582) and Br at (0.2185, 0.2185, 0.0000).



version one comes first in stability; the runner-up is 16 meV/atom higher.